Entry 1:
# TiICl3, optimized geometry, DFT PBE-GGA
data_TiICl3
_cell_length_a 6.2157
_cell_length_b 9.0596
_cell_length_c 8.2488
_cell_angle_alpha 90.00
_cell_angle_beta 96.41
_cell_angle_gamma 90.00
_space_group_name_H-M_alt 'P 1 21/m 1'
_space_group_IT_number 11
loop_
_space_group_symop_operation_xyz
'x,y,z'
'-x,-y,-z'
'-x,y+1/2,-z'
'x,-y+1/2,z'
loop_
_atom_site_label
_atom_site_type_symbol
_atom_site_fract_x
_atom_site_fract_y
_atom_site_fract_z
_atom_site_occupancy
Ti1 Ti 0.2162 0.2500 0.2508 1
I1 I 0.4744 0.2500 0.5141 1
Cl1 Cl 0.0139 0.0522 0.2453 1
Cl2 Cl 0.4043 0.2500 0.0420 1
# - total DFT energy (no corrections) (eV per atom) = -4.374
# - density of states at the Fermi level (states/eV/f.u.) = 0.00

***

Entry 2:
# TiICl3, optimized geometry, DFT PBE-GGA
data_TiICl3
_cell_length_a 14.0495
_cell_length_b 15.9845
_cell_length_c 6.4668
_cell_angle_alpha 90.00
_cell_angle_beta 96.90
_cell_angle_gamma 90.00
_space_group_name_H-M_alt 'C 1 2/c 1'
_space_group_IT_number 15
loop_
_space_group_symop_operation_xyz
'x,y,z'
'-x,-y,-z'
'-x,y,-z+1/2'
'x,-y,z+1/2'
'x+1/2,y+1/2,z'
'-x+1/2,-y+1/2,-z'
'-x+1/2,y+1/2,-z+1/2'
'x+1/2,-y+1/2,z+1/2'
loop_
_atom_site_label
_atom_site_type_symbol
_atom_site_fract_x
_atom_site_fract_y
_atom_site_fract_z
_atom_site_occupancy
Ti1 Ti 0.0000 0.1714 0.2500 1
Ti2 Ti 0.0000 0.3278 0.7500 1
I1 I 0.1218 0.3064 0.1110 1
Cl1 Cl 0.0829 0.2018 0.5856 1
Cl2 Cl 0.1015 0.4155 0.6323 1
Cl3 Cl 0.1089 0.0821 0.1676 1
# - total DFT energy (no corrections) (eV per atom) = -4.323

***

Entry 3:
# TiI3Cl, optimized geometry, DFT PBE-GGA
data_TiI3Cl
_cell_length_a 10.0086
_cell_length_b 7.2138
_cell_length_c 15.0429
_cell_angle_alpha 90.00
_cell_angle_beta 90.00
_cell_angle_gamma 90.00
_space_group_name_H-M_alt 'P n m a'
_space_group_IT_number 62
loop_
_space_group_symop_operation_xyz
'x,y,z'
'-x,-y,-z'
'-x+1/2,-y,z+1/2'
'x+1/2,y,-z+1/2'
'x+1/2,-y+1/2,-z+1/2'
'-x+1/2,y+1/2,z+1/2'
'-x,y+1/2,-z'
'x,-y+1/2,z'
loop_
_atom_site_label
_atom_site_type_symbol
_atom_site_fract_x
_atom_site_fract_y
_atom_site_fract_z
_atom_site_occupancy
Ti1 Ti 0.1684 0.2500 0.0355 1
I1 I 0.1934 0.7500 0.3935 1
I2 I 0.2176 0.0008 0.6344 1
Cl1 Cl 0.0000 0.0000 0.0000 1
# - total DFT energy (no corrections) (eV per atom) = -3.667
# - density of states at the Fermi level (states/eV/f.u.) = 0.50

***

Entry 4:
# TiTl2I2Cl4, optimized geometry, DFT PBE-GGA
data_TiTl2I2Cl4
_cell_length_a 7.2392
_cell_length_b 7.2392
_cell_length_c 11.2118
_cell_angle_alpha 90.00
_cell_angle_beta 90.00
_cell_angle_gamma 90.00
_space_group_name_H-M_alt 'I 4/m m m'
_space_group_IT_number 139
_space_group_name_Hall '-I 4 2'
loop_
_atom_site_label
_atom_site_type_symbol
_atom_site_fract_x
_atom_site_fract_y
_atom_site_fract_z
_atom_site_occupancy
Ti1 Ti 0.0000 0.0000 0.0000 1
Tl1 Tl 0.0000 0.5000 0.2500 1
I1 I 0.0000 0.0000 0.2529 1
Cl1 Cl 0.2272 0.2272 0.0000 1
# - total DFT energy (no corrections) (eV per atom) = -3.694

***

Entry 5:
# Tl3ICl6, optimized geometry, DFT PBE-GGA
data_Tl3ICl6
_cell_length_a 11.7334
_cell_length_b 15.2026
_cell_length_c 8.1829
_cell_angle_alpha 90.00
_cell_angle_beta 90.00
_cell_angle_gamma 90.00
_space_group_name_H-M_alt 'C m c 21'
_space_group_IT_number 36
loop_
_space_group_symop_operation_xyz
'x,y,z'
'-x,-y,z+1/2'
'-x,y,z'
'x,-y,z+1/2'
'x+1/2,y+1/2,z'
'-x+1/2,-y+1/2,z+1/2'
'-x+1/2,y+1/2,z'
'x+1/2,-y+1/2,z+1/2'
loop_
_atom_site_label
_atom_site_type_symbol
_atom_site_fract_x
_atom_site_fract_y
_atom_site_fract_z
_atom_site_occupancy
Tl1 Tl 0.0000 0.1409 0.0000 1
Tl2 Tl 0.2262 0.3813 0.9786 1
I1 I 0.0000 0.3604 0.4783 1
Cl1 Cl 0.0000 0.2941 0.1659 1
Cl2 Cl 0.0000 0.4398 0.7394 1
Cl3 Cl 0.1504 0.0519 0.1556 1
Cl4 Cl 0.1557 0.1975 0.8073 1
# - total DFT energy (no corrections) (eV per atom) = -2.662

***

Entry 6:
# Tl3ICl6, optimized geometry, DFT PBE-GGA
data_Tl3ICl6
_cell_length_a 11.8040
_cell_length_b 17.2681
_cell_length_c 8.0775
_cell_angle_alpha 90.00
_cell_angle_beta 90.00
_cell_angle_gamma 90.00
_space_group_name_H-M_alt 'C m c 21'
_space_group_IT_number 36
loop_
_space_group_symop_operation_xyz
'x,y,z'
'-x,-y,z+1/2'
'-x,y,z'
'x,-y,z+1/2'
'x+1/2,y+1/2,z'
'-x+1/2,-y+1/2,z+1/2'
'-x+1/2,y+1/2,z'
'x+1/2,-y+1/2,z+1/2'
loop_
_atom_site_label
_atom_site_type_symbol
_atom_site_fract_x
_atom_site_fract_y
_atom_site_fract_z
_atom_site_occupancy
Tl1 Tl 0.0000 0.0757 0.0000 1
Tl2 Tl 0.2042 0.4113 0.9455 1
I1 I 0.0000 0.2867 0.4430 1
Cl1 Cl 0.0000 0.2555 0.1388 1
Cl2 Cl 0.0000 0.4774 0.0199 1
Cl3 Cl 0.1515 0.3141 0.6699 1
Cl4 Cl 0.1705 0.0211 0.7286 1
# - total DFT energy (no corrections) (eV per atom) = -2.572

***

Entry 7:
# Tl3I3Cl, optimized geometry, DFT PBE-GGA
data_Tl3I3Cl
_cell_length_a 9.4758
_cell_length_b 15.3540
_cell_length_c 8.6273
_cell_angle_alpha 90.00
_cell_angle_beta 98.15
_cell_angle_gamma 90.00
_space_group_name_H-M_alt 'C 1 2/m 1'
_space_group_IT_number 12
loop_
_space_group_symop_operation_xyz
'x,y,z'
'-x,-y,-z'
'-x,y,-z'
'x,-y,z'
'x+1/2,y+1/2,z'
'-x+1/2,-y+1/2,-z'
'-x+1/2,y+1/2,-z'
'x+1/2,-y+1/2,z'
loop_
_atom_site_label
_atom_site_type_symbol
_atom_site_fract_x
_atom_site_fract_y
_atom_site_fract_z
_atom_site_occupancy
Tl1 Tl 0.1077 0.0000 0.2726 1
Tl2 Tl 0.2259 0.3183 0.2401 1
I1 I 0.0000 0.1588 0.0000 1
I2 I 0.0000 0.2619 0.5000 1
I3 I 0.0995 0.5000 0.8929 1
Cl1 Cl 0.1704 0.0000 0.6376 1
# - total DFT energy (no corrections) (eV per atom) = -2.551

***

Entry 8:
# Tl2I2Cl, optimized geometry, DFT PBE-GGA
data_Tl2I2Cl
_cell_length_a 4.8658
_cell_length_b 4.8658
_cell_length_c 16.9548
_cell_angle_alpha 90.00
_cell_angle_beta 90.00
_cell_angle_gamma 90.00
_space_group_name_H-M_alt 'I 4/m m m'
_space_group_IT_number 139
_space_group_name_Hall '-I 4 2'
loop_
_atom_site_label
_atom_site_type_symbol
_atom_site_fract_x
_atom_site_fract_y
_atom_site_fract_z
_atom_site_occupancy
Tl1 Tl 0.0000 0.0000 0.0995 1
I1 I 0.0000 0.5000 0.2500 1
Cl1 Cl 0.0000 0.0000 0.5000 1
# - total DFT energy (no corrections) (eV per atom) = -2.374
# - density of states at the Fermi level (states/eV/f.u.) = 2.21

***

Entry 9:
# TlICl2, optimized geometry, DFT PBE-GGA
data_TlICl2
_cell_length_a 15.7214
_cell_length_b 5.0708
_cell_length_c 8.2289
_cell_angle_alpha 90.00
_cell_angle_beta 90.00
_cell_angle_gamma 90.00
_space_group_name_H-M_alt 'P n m a'
_space_group_IT_number 62
loop_
_space_group_symop_operation_xyz
'x,y,z'
'-x,-y,-z'
'-x+1/2,-y,z+1/2'
'x+1/2,y,-z+1/2'
'x+1/2,-y+1/2,-z+1/2'
'-x+1/2,y+1/2,z+1/2'
'-x,y+1/2,-z'
'x,-y+1/2,z'
loop_
_atom_site_label
_atom_site_type_symbol
_atom_site_fract_x
_atom_site_fract_y
_atom_site_fract_z
_atom_site_occupancy
Tl1 Tl 0.1449 0.2500 0.0390 1
I1 I 0.1204 0.7500 0.5560 1
Cl1 Cl 0.0554 0.7500 0.8434 1
Cl2 Cl 0.1940 0.7500 0.2761 1
# - total DFT energy (no corrections) (eV per atom) = -2.507
# - density of states at the Fermi level (states/eV/f.u.) = 0.00

***

Entry 10:
# Tl4ICl3, optimized geometry, DFT PBE-GGA
data_Tl4ICl3
_cell_length_a 13.3402
_cell_length_b 9.4304
_cell_length_c 4.7063
_cell_angle_alpha 90.00
_cell_angle_beta 90.14
_cell_angle_gamma 90.00
_space_group_name_H-M_alt 'C 1 2/m 1'
_space_group_IT_number 12
loop_
_space_group_symop_operation_xyz
'x,y,z'
'-x,-y,-z'
'-x,y,-z'
'x,-y,z'
'x+1/2,y+1/2,z'
'-x+1/2,-y+1/2,-z'
'-x+1/2,y+1/2,-z'
'x+1/2,-y+1/2,z'
loop_
_atom_site_label
_atom_site_type_symbol
_atom_site_fract_x
_atom_site_fract_y
_atom_site_fract_z
_atom_site_occupancy
Tl1 Tl 0.0000 0.2314 0.0000 1
Tl2 Tl 0.2419 0.0000 0.5006 1
I1 I 0.0000 0.5000 0.5000 1
Cl1 Cl 0.0000 0.0000 0.5000 1
Cl2 Cl 0.2500 0.2500 0.0000 1
# - total DFT energy (no corrections) (eV per atom) = -2.983
# - density of states at the Fermi level (states/eV/f.u.) = 0.00

***

Entry 11:
# TlI2Cl, optimized geometry, DFT PBE-GGA
data_TlI2Cl
_cell_length_a 6.9330
_cell_length_b 6.3639
_cell_length_c 16.4643
_cell_angle_alpha 90.00
_cell_angle_beta 90.00
_cell_angle_gamma 90.00
_space_group_name_H-M_alt 'P n n a'
_space_group_IT_number 52
loop_
_space_group_symop_operation_xyz
'x,y,z'
'-x,-y,-z'
'-x+1/2,-y,z'
'x+1/2,y,-z'
'x,-y+1/2,-z+1/2'
'-x,y+1/2,z+1/2'
'-x+1/2,y+1/2,-z+1/2'
'x+1/2,-y+1/2,z+1/2'
loop_
_atom_site_label
_atom_site_type_symbol
_atom_site_fract_x
_atom_site_fract_y
_atom_site_fract_z
_atom_site_occupancy
Tl1 Tl 0.2500 0.0000 0.1493 1
I1 I 0.0240 0.2369 0.5861 1
Cl1 Cl 0.0547 0.2500 0.2500 1
# - total DFT energy (no corrections) (eV per atom) = -2.205

***

Entry 12:
# TlI3Cl, optimized geometry, DFT PBE-GGA
data_TlI3Cl
_cell_length_a 5.8503
_cell_length_b 5.8503
_cell_length_c 5.8503
_cell_angle_alpha 90.00
_cell_angle_beta 90.00
_cell_angle_gamma 90.00
_space_group_name_H-M_alt 'P m -3 m'
_space_group_IT_number 221
_space_group_name_Hall '-P 4 2 3'
loop_
_atom_site_label
_atom_site_type_symbol
_atom_site_fract_x
_atom_site_fract_y
_atom_site_fract_z
_atom_site_occupancy
Tl1 Tl 0.0000 0.0000 0.0000 1
I1 I 0.0000 0.5000 0.5000 1
Cl1 Cl 0.5000 0.5000 0.5000 1
# - total DFT energy (no corrections) (eV per atom) = -1.790
# - density of states at the Fermi level (states/eV/f.u.) = 1.51

***

Summary of total magnetic moment in μB per atom
0.000 0.000 0.000 0.000 0.000 0.000 0.000 0.000 0.000 0.000 0.000 0.000
(order as listed above)
Summary of formation energy from raw total energies in eV per atom
-1.38 -1.33 -0.79 -1.13 -0.69 -0.60 -0.61 -0.44 -0.60 -0.91 -0.38 -0.02
(order as listed above)